## Ca3Cu8Sn4 (PBEsol)

Data for a relaxed Ca3Cu8Sn4 crystal.

Cell: 9.0098 9.0098 7.6242 Å, 90.00 90.00 120.00°
Space group P6_3mc (No. 186)
Symmetry-distinct sites (fractional):
Ca (0.0506, 0.5253, 0.0000)
Cu (0.0000, 0.0000, 0.2763)
Cu (0.1018, 0.2036, 0.0241)
Cu (0.1632, 0.3265, 0.3331)
Cu (0.3333, 0.6667, 0.6651)
Sn (0.1689, 0.3377, 0.7064)
Sn (0.3333, 0.6667, 0.3085)

The formation energy comes out at -0.31 eV per atom.

## Tm2CuAu (PBEsol)

Data for a relaxed Tm2CuAu crystal.

Cell: 6.870 6.870 6.870 Å, 90.00 90.00 90.00°
Space group Fm-3m (No. 225)
Symmetry-distinct sites (fractional):
Tm (0.250, 0.250, 0.250)
Cu (0.000, 0.000, 0.000)
Au (0.000, 0.000, 0.500)

The formation energy comes out at -0.59 eV per atom.

## BaSrCr (PBEsol)

Data for a relaxed BaSrCr crystal.

Cell: 7.987 7.987 7.987 Å, 90.00 90.00 90.00°
Space group F-43m (No. 216)
Symmetry-distinct sites (fractional):
Ba (0.000, 0.000, 0.000)
Sr (0.250, 0.250, 0.250)
Cr (0.000, 0.000, 0.500)

The formation energy comes out at 1.15 eV per atom.

## BaAl4Tc (PBEsol)

Data for a relaxed BaAl4Tc crystal.

Cell: 7.697 7.697 7.697 Å, 90.00 90.00 90.00°
Space group F-43m (No. 216)
Symmetry-distinct sites (fractional):
Ba (0.000, 0.000, 0.000)
Al (0.124, 0.124, 0.376)
Tc (0.250, 0.250, 0.750)

The formation energy comes out at 0.26 eV per atom.